Compound: La2ThPb2N2
Source: Alexandria via LeMat-Bulk
Functional: PBE
Structure: optimized geometry

POSCAR file:
```
La2ThPb2N2
1.0
-2.325 2.325 8.463
2.325 -2.325 8.463
2.325 2.325 -8.463
La Th Pb N
2 1 2 2
Cartesian
0.000 0.000 1.621 La
0.000 0.000 15.305 La
0.000 0.000 8.463 Th
0.000 0.000 4.851 Pb
0.000 0.000 12.074 Pb
2.325 0.000 0.000 N
0.000 2.325 0.000 N
```

The value obtained for the uncorrected formation energy is -0.842 eV/atom. As for the symmetry: I4/mmm (139).



Compound: SrLa2Au2
Source: Alexandria via LeMat-Bulk
Functional: PBE
Structure: optimized geometry

POSCAR file:
```
SrLa2Au2
1.0
8.676 0.000 0.000
0.000 8.676 0.000
0.000 0.000 4.040
Sr La Au
2 4 4
Cartesian
0.000 0.000 0.000 Sr
4.338 4.338 0.000 Sr
1.363 2.975 2.020 La
2.975 7.312 2.020 La
5.701 1.363 2.020 La
7.312 5.701 2.020 La
1.147 5.485 0.000 Au
3.190 1.147 0.000 Au
5.485 7.528 0.000 Au
7.528 3.190 0.000 Au
```

As for the symmetry: P4/mbm (127). The formation energy comes out at -629.3 meV per atom.



Compound: Tm2Si3Ni2
Source: Alexandria via LeMat-Bulk
Functional: PBE
Structure: optimized geometry

POSCAR file:
```
Tm2Si3Ni2
1.0
4.928 -1.983 0.000
4.928 1.983 0.000
-2.758 0.000 5.659
Tm Si Ni
2 3 2
Cartesian
0.698 0.000 1.587 Tm
6.399 0.000 4.072 Tm
3.659 0.000 0.341 Si
3.549 0.000 2.830 Si
3.439 0.000 5.318 Si
-0.691 0.000 4.213 Ni
7.789 0.000 1.446 Ni
```

The value obtained for the uncorrected formation energy is -0.699 eV/atom. As for the symmetry: C2/m (12).